1.
SmDyMg2, optimized geometry, DFT GGA-PBE; space-group type = Pmm2; magnetic moment = 0.0076 μB/atom; VASP energy = -12.8 eV per cell
1.0
3.794 0.000 0.000
0.000 5.403 0.000
0.000 0.000 5.403
Dy Mg Sm
1 2 1
Direct
0.000 0.000 0.748
0.500 0.000 0.247
0.500 0.500 0.753
0.000 0.500 0.252

=====

2.
TaCoSbMo, optimized geometry, DFT GGA-PBE; space-group type = F-43m; magnetic moment = 0.2487 μB/atom; VASP energy = -33.5 eV per cell
1.0
-1.138 -2.292 3.705
-4.262 0.041 1.452
-2.529 -3.711 -0.336
Co Mo Sb Ta
1 1 1 1
Direct
0.750 0.750 0.750
0.250 0.250 0.250
0.000 0.000 0.000
0.500 0.500 0.500